# CsTeIr

An optimized crystal structure of CsTeIr (PBE, the Alexandria database).

Properties
* ΔE_f (raw): -0.1712 eV/atom
* excess energy over the best structure of this formula in the dataset: 0.09 eV/f.u.

```
data_CsTeIr
_chemical_formula_sum 'Cs2 Te2 Ir2'
_space_group_name_H-M_alt 'P 1 21/m 1'
_space_group_IT_number 11
_space_group_name_Hall '-P 2yb'
_cell_length_a 4.235
_cell_length_b 4.235
_cell_length_c 12.393
_cell_angle_alpha 90.00
_cell_angle_beta 91.33
_cell_angle_gamma 90.00
loop_
_atom_site_label
_atom_site_type_symbol
_atom_site_fract_x
_atom_site_fract_y
_atom_site_fract_z
Cs1 Cs 0.230 0.250 0.202
Te1 Te 0.259 0.250 0.629
Ir1 Ir 0.250 0.750 0.500
```

# CsZnTe2Ir

An optimized crystal structure of CsZnTe2Ir (PBE, the Alexandria database).

Properties
* ΔE_f (raw): 2.0235 eV/atom

```
data_CsZnTe2Ir
_chemical_formula_sum 'Cs1 Zn1 Te2 Ir1'
_space_group_name_H-M_alt 'P 4/m m m'
_space_group_IT_number 123
_space_group_name_Hall '-P 4 2'
_cell_length_a 6.397
_cell_length_b 6.397
_cell_length_c 5.849
_cell_angle_alpha 90.00
_cell_angle_beta 90.00
_cell_angle_gamma 90.00
loop_
_atom_site_label
_atom_site_type_symbol
_atom_site_fract_x
_atom_site_fract_y
_atom_site_fract_z
Cs1 Cs 0.000 0.000 0.000
Zn1 Zn 0.000 0.000 0.500
Te1 Te 0.000 0.500 0.000
Ir1 Ir 0.500 0.500 0.500
```

# Cs2TiIr

An optimized crystal structure of Cs2TiIr (PBE, the Alexandria database).

Properties
* calculated total energy: -3.90 eV/atom

```
data_Cs2TiIr
_chemical_formula_sum 'Cs8 Ti4 Ir4'
_space_group_name_H-M_alt 'I -4 2 d'
_space_group_IT_number 122
_space_group_name_Hall 'I -4 2bw'
_cell_length_a 13.586
_cell_length_b 13.586
_cell_length_c 4.647
_cell_angle_alpha 90.00
_cell_angle_beta 90.00
_cell_angle_gamma 90.00
loop_
_atom_site_label
_atom_site_type_symbol
_atom_site_fract_x
_atom_site_fract_y
_atom_site_fract_z
Cs1 Cs 0.079 0.250 0.125
Ti1 Ti 0.000 0.000 0.500
Ir1 Ir 0.000 0.000 0.000
```

# CsTiIr2

An optimized crystal structure of CsTiIr2 (PBE, the Alexandria database).

Properties
* excess energy over the best structure of this formula in the dataset: 1.81 eV/f.u.

```
data_CsTiIr2
_chemical_formula_sum 'Cs4 Ti4 Ir8'
_space_group_name_H-M_alt 'F m -3 m'
_space_group_IT_number 225
_space_group_name_Hall '-F 4 2 3'
_cell_length_a 6.801
_cell_length_b 6.801
_cell_length_c 6.801
_cell_angle_alpha 90.00
_cell_angle_beta 90.00
_cell_angle_gamma 90.00
loop_
_atom_site_label
_atom_site_type_symbol
_atom_site_fract_x
_atom_site_fract_y
_atom_site_fract_z
Cs1 Cs 0.000 0.000 0.000
Ti1 Ti 0.000 0.000 0.500
Ir1 Ir 0.250 0.250 0.250
```

# CsTiIr2

An optimized crystal structure of CsTiIr2 (PBE, the Alexandria database).

Properties
* excess energy over the best structure of this formula in the dataset: 0.00 eV/f.u.

```
data_CsTiIr2
_chemical_formula_sum 'Cs4 Ti4 Ir8'
_space_group_name_H-M_alt 'I -4 2 d'
_space_group_IT_number 122
_space_group_name_Hall 'I -4 2bw'
_cell_length_a 5.419
_cell_length_b 5.419
_cell_length_c 15.770
_cell_angle_alpha 90.00
_cell_angle_beta 90.00
_cell_angle_gamma 90.00
loop_
_atom_site_label
_atom_site_type_symbol
_atom_site_fract_x
_atom_site_fract_y
_atom_site_fract_z
Cs1 Cs 0.000 0.000 0.000
Ti1 Ti 0.000 0.000 0.500
Ir1 Ir 0.037 0.250 0.625
```

# CsTi3Ir

An optimized crystal structure of CsTi3Ir (PBE, the Alexandria database).

Properties
* excess energy over the best structure of this formula in the dataset: 0.00 eV/f.u.

```
data_CsTi3Ir
_chemical_formula_sum 'Cs1 Ti3 Ir1'
_space_group_name_H-M_alt 'P m -3 m'
_space_group_IT_number 221
_space_group_name_Hall '-P 4 2 3'
_cell_length_a 4.989
_cell_length_b 4.989
_cell_length_c 4.989
_cell_angle_alpha 90.00
_cell_angle_beta 90.00
_cell_angle_gamma 90.00
loop_
_atom_site_label
_atom_site_type_symbol
_atom_site_fract_x
_atom_site_fract_y
_atom_site_fract_z
Cs1 Cs 0.000 0.000 0.000
Ti1 Ti 0.000 0.500 0.500
Ir1 Ir 0.500 0.500 0.500
```

# CsTi3Ir

An optimized crystal structure of CsTi3Ir (PBE, the Alexandria database).

Properties
* excess energy over the best structure of this formula in the dataset: 8.34 eV/f.u.

```
data_CsTi3Ir
_chemical_formula_sum 'Cs1 Ti3 Ir1'
_space_group_name_H-M_alt 'P m -3 m'
_space_group_IT_number 221
_space_group_name_Hall '-P 4 2 3'
_cell_length_a 4.819
_cell_length_b 4.819
_cell_length_c 4.819
_cell_angle_alpha 90.00
_cell_angle_beta 90.00
_cell_angle_gamma 90.00
loop_
_atom_site_label
_atom_site_type_symbol
_atom_site_fract_x
_atom_site_fract_y
_atom_site_fract_z
Cs1 Cs 0.000 0.000 0.000
Ti1 Ti 0.000 0.000 0.500
Ir1 Ir 0.500 0.500 0.500
```

# CsTl3Ir

An optimized crystal structure of CsTl3Ir (PBE, the Alexandria database).

Properties
* excess energy over the best structure of this formula in the dataset: 0.00 eV/f.u.

```
data_CsTl3Ir
_chemical_formula_sum 'Cs1 Tl3 Ir1'
_space_group_name_H-M_alt 'P m -3 m'
_space_group_IT_number 221
_space_group_name_Hall '-P 4 2 3'
_cell_length_a 5.431
_cell_length_b 5.431
_cell_length_c 5.431
_cell_angle_alpha 90.00
_cell_angle_beta 90.00
_cell_angle_gamma 90.00
loop_
_atom_site_label
_atom_site_type_symbol
_atom_site_fract_x
_atom_site_fract_y
_atom_site_fract_z
Cs1 Cs 0.000 0.000 0.000
Tl1 Tl 0.000 0.500 0.500
Ir1 Ir 0.500 0.500 0.500
```

# CsTl3Ir

An optimized crystal structure of CsTl3Ir (PBE, the Alexandria database).

Properties
* excess energy over the best structure of this formula in the dataset: 9.24 eV/f.u.

```
data_CsTl3Ir
_chemical_formula_sum 'Cs1 Tl3 Ir1'
_space_group_name_H-M_alt 'P m -3 m'
_space_group_IT_number 221
_space_group_name_Hall '-P 4 2 3'
_cell_length_a 6.286
_cell_length_b 6.286
_cell_length_c 6.286
_cell_angle_alpha 90.00
_cell_angle_beta 90.00
_cell_angle_gamma 90.00
loop_
_atom_site_label
_atom_site_type_symbol
_atom_site_fract_x
_atom_site_fract_y
_atom_site_fract_z
Cs1 Cs 0.000 0.000 0.000
Tl1 Tl 0.000 0.000 0.500
Ir1 Ir 0.500 0.500 0.500
```

# Cs3Tl4Ir

An optimized crystal structure of Cs3Tl4Ir (PBE, the Alexandria database).

Properties
* calculated total energy: -2.52 eV/atom

```
data_Cs3Tl4Ir
_chemical_formula_sum 'Cs6 Tl8 Ir2'
_space_group_name_H-M_alt 'I m m 2'
_space_group_IT_number 44
_space_group_name_Hall 'I 2 -2'
_cell_length_a 7.265
_cell_length_b 8.217
_cell_length_c 11.064
_cell_angle_alpha 90.00
_cell_angle_beta 90.00
_cell_angle_gamma 90.00
loop_
_atom_site_label
_atom_site_type_symbol
_atom_site_fract_x
_atom_site_fract_y
_atom_site_fract_z
Cs1 Cs 0.000 0.000 0.000
Cs2 Cs 0.000 0.247 0.646
Tl1 Tl 0.000 0.296 0.298
Tl2 Tl 0.228 0.500 0.910
Ir1 Ir 0.000 0.500 0.105
```

# CsTl2ZnIr

An optimized crystal structure of CsTl2ZnIr (PBE, the Alexandria database).

Properties
* calculated total energy: -3.17 eV/atom

```
data_CsTl2ZnIr
_chemical_formula_sum 'Cs1 Tl2 Zn1 Ir1'
_space_group_name_H-M_alt 'P 4/m m m'
_space_group_IT_number 123
_space_group_name_Hall '-P 4 2'
_cell_length_a 5.356
_cell_length_b 5.356
_cell_length_c 5.167
_cell_angle_alpha 90.00
_cell_angle_beta 90.00
_cell_angle_gamma 90.00
loop_
_atom_site_label
_atom_site_type_symbol
_atom_site_fract_x
_atom_site_fract_y
_atom_site_fract_z
Cs1 Cs 0.000 0.000 0.000
Tl1 Tl 0.000 0.500 0.500
Zn1 Zn 0.500 0.500 0.000
Ir1 Ir 0.500 0.500 0.500
```

# CsV3Ir

An optimized crystal structure of CsV3Ir (PBE, the Alexandria database).

Properties
* calculated total energy: -6.35 eV/atom

```
data_CsV3Ir
_chemical_formula_sum 'Cs1 V3 Ir1'
_space_group_name_H-M_alt 'P m -3 m'
_space_group_IT_number 221
_space_group_name_Hall '-P 4 2 3'
_cell_length_a 4.967
_cell_length_b 4.967
_cell_length_c 4.967
_cell_angle_alpha 90.00
_cell_angle_beta 90.00
_cell_angle_gamma 90.00
loop_
_atom_site_label
_atom_site_type_symbol
_atom_site_fract_x
_atom_site_fract_y
_atom_site_fract_z
Cs1 Cs 0.000 0.000 0.000
V1 V 0.000 0.500 0.500
Ir1 Ir 0.500 0.500 0.500
```

The records above give, respectively, V values of 222 239 858 315 463 124 112 160 248 660 148 123 Å³/cell.